# 1
This record from the Alexandria database describes a relaxed structure of Ac5SmAg4. The functional is PBE.

abc: 3.946 3.946 21.123
angles: 90.00 90.00 90.00
Space group P4/mmm (No. 123)
Symmetry-distinct sites (fractional):
Ac: 0.000 0.000 0.000
Ac: 0.000 0.000 0.190
Ac: 0.000 0.000 0.377
Sm: 0.500 0.500 0.500
Ag: 0.500 0.500 0.094
Ag: 0.500 0.500 0.284

Output
* ΔE_f: -0.19 eV/atom
* total magnetic moment: 0.000 Bohr magnetons per cell
* DOS(E_F): 9.3 states/eV per cell

# 2
This record from the Alexandria database describes a relaxed structure of Ac2SmAg. The functional is PBE.

abc: 3.7993 3.7993 36.9578
angles: 90.00 90.00 120.00
Space group R-3m (No. 166, hexagonal axes)
Symmetry-distinct sites (fractional):
Ac: 0.0000 0.0000 0.0847
Sm: 0.0000 0.0000 0.5000
Ag: 0.0000 0.0000 0.0000

Output
* ΔE_f: 0.30 eV/atom
* total magnetic moment: 0.000 Bohr magnetons per cell
* distance to the lowest polymorph of the same formula: 38.26 kJ per mole of atoms
* DOS(E_F): 13.3 states/eV per cell